Record 1
Material: AcLaSiRh
Method: DFT, GGA-PBE
State: relaxed

Properties
Total magnetic moment, μB per atom: 0.000
ΔE to the lowest computed polymorph, meV per atom: 0
Symmetry: No. 38
DOS at the Fermi energy, states/eV/cell: 8.53
Calculated total energy, eV per atom: -6.17
Calculated volume, Å³/cell: 211.8

Cell lengths 4.226, 4.423, 11.332 Å; angles 90.00, 90.00, 90.00 degrees
Element x y z (fractional)
Ac: 0.000 0.000 0.000
Ac: 0.000 0.500 0.500
La: 0.500 0.000 0.723
La: 0.500 0.500 0.223
Si: 0.000 0.000 0.294
Si: 0.000 0.500 0.794
Rh: 0.500 0.000 0.422
Rh: 0.500 0.500 0.922

---

Record 2
Material: BeAgOs
Method: DFT, GGA-PBE
State: relaxed

Properties
Total magnetic moment, μB per atom: 0.566
ΔH_f (0 K), meV/atom: 1329
ΔE to the lowest computed polymorph, meV per atom: 1042
Symmetry: No. 216
DOS at the Fermi energy, states/eV/cell: 13.62
Calculated total energy, eV per atom: -4.61
Calculated volume, Å³/cell: 207.1

Cell lengths 5.916, 5.916, 5.916 Å; angles 90.00, 90.00, 90.00 degrees
Element x y z (fractional)
Be: 0.000 0.000 0.000
Be: 0.000 0.500 0.500
Be: 0.500 0.000 0.500
Be: 0.500 0.500 0.000
Ag: 0.000 0.000 0.500
Ag: 0.000 0.500 0.000
Ag: 0.500 0.000 0.000
Ag: 0.500 0.500 0.500
Os: 0.250 0.250 0.750
Os: 0.250 0.750 0.250
Os: 0.750 0.250 0.250
Os: 0.750 0.750 0.750

---

Record 3
Material: LiPW
Method: DFT, GGA-PBE
State: relaxed

Properties
Total magnetic moment, μB per atom: 0.000
ΔH_f (0 K), meV/atom: -367
ΔE to the lowest computed polymorph, meV per atom: 0
Symmetry: No. 129
DOS at the Fermi energy, states/eV/cell: 2.61
Calculated total energy, eV per atom: -7.13
Calculated volume, Å³/cell: 96.7

Cell lengths 3.835, 3.835, 6.578 Å; angles 90.00, 90.00, 90.00 degrees
Element x y z (fractional)
Li: 0.250 0.250 0.142
Li: 0.750 0.750 0.858
P: 0.250 0.250 0.752
P: 0.750 0.750 0.248
W: 0.250 0.750 0.500
W: 0.750 0.250 0.500

---

Record 4
Material: CoCu2Br
Method: DFT, GGA-PBE
State: relaxed

Properties
Total magnetic moment, μB per atom: 0.470
ΔE to the lowest computed polymorph, meV per atom: 0
Symmetry: No. 25
DOS at the Fermi energy, states/eV/cell: 4.60
Calculated total energy, eV per atom: -3.90
Calculated volume, Å³/cell: 65.0

Cell lengths 3.101, 3.224, 6.499 Å; angles 90.00, 90.00, 90.00 degrees
Element x y z (fractional)
Co: 0.000 0.000 0.000
Cu: 0.000 0.000 0.374
Cu: 0.500 0.500 0.184
Br: 0.500 0.000 0.707

---

Record 5
Material: BeInIN2
Method: DFT, GGA-PBE
State: relaxed

Properties
Total magnetic moment, μB per atom: 0.682
ΔE to the lowest computed polymorph, meV per atom: 0
Symmetry: No. 123
DOS at the Fermi energy, states/eV/cell: 1.66
Calculated total energy, eV per atom: -3.54
Calculated volume, Å³/cell: 86.9

Cell lengths 4.103, 4.103, 5.164 Å; angles 90.00, 90.00, 90.00 degrees
Element x y z (fractional)
Be: 0.000 0.000 0.000
In: 0.500 0.500 0.500
I: 0.000 0.000 0.500
N: 0.000 0.500 0.000
N: 0.500 0.000 0.000

---

Record 6
Material: KBaOs2
Method: DFT, GGA-PBE
State: relaxed

Properties
Total magnetic moment, μB per atom: 1.199
ΔH_f (0 K), meV/atom: 2083
ΔE to the lowest computed polymorph, meV per atom: 1637
Symmetry: No. 225
DOS at the Fermi energy, states/eV/cell: 20.58
Calculated total energy, eV per atom: -4.29
Calculated volume, Å³/cell: 427.2

Cell lengths 7.531, 7.531, 7.531 Å; angles 90.00, 90.00, 90.00 degrees
Element x y z (fractional)
K: 0.000 0.000 0.000
K: 0.000 0.500 0.500
K: 0.500 0.000 0.500
K: 0.500 0.500 0.000
Ba: 0.000 0.000 0.500
Ba: 0.000 0.500 0.000
Ba: 0.500 0.000 0.000
Ba: 0.500 0.500 0.500
Os: 0.250 0.250 0.250
Os: 0.250 0.250 0.750
Os: 0.250 0.750 0.250
Os: 0.250 0.750 0.750
Os: 0.750 0.250 0.250
Os: 0.750 0.250 0.750
Os: 0.750 0.750 0.250
Os: 0.750 0.750 0.750

---

Record 7
Material: CaThZnCd
Method: DFT, GGA-PBE
State: relaxed

Properties
Total magnetic moment, μB per atom: 0.000
ΔH_f (0 K), meV/atom: -150
Symmetry: No. 216
DOS at the Fermi energy, states/eV/cell: 11.91
Calculated total energy, eV per atom: -3.05
Calculated volume, Å³/cell: 425.1

Cell lengths 7.519, 7.519, 7.519 Å; angles 90.00, 90.00, 90.00 degrees
Element x y z (fractional)
Ca: 0.000 0.000 0.000
Ca: 0.000 0.500 0.500
Ca: 0.500 0.000 0.500
Ca: 0.500 0.500 0.000
Th: 0.000 0.000 0.500
Th: 0.000 0.500 0.000
Th: 0.500 0.000 0.000
Th: 0.500 0.500 0.500
Zn: 0.250 0.250 0.250
Zn: 0.250 0.750 0.750
Zn: 0.750 0.250 0.750
Zn: 0.750 0.750 0.250
Cd: 0.250 0.250 0.750
Cd: 0.250 0.750 0.250
Cd: 0.750 0.250 0.250
Cd: 0.750 0.750 0.750

---

Record 8
Material: RbTcW3
Method: DFT, GGA-PBE
State: relaxed

Properties
Total magnetic moment, μB per atom: 0.000
ΔH_f (0 K), meV/atom: 4036
ΔE to the lowest computed polymorph, meV per atom: 1849
Symmetry: No. 221
DOS at the Fermi energy, states/eV/cell: 7.57
Calculated total energy, eV per atom: -6.00
Calculated volume, Å³/cell: 97.5

Cell lengths 4.602, 4.602, 4.602 Å; angles 90.00, 90.00, 90.00 degrees
Element x y z (fractional)
Rb: 0.000 0.000 0.000
Tc: 0.500 0.500 0.500
W: 0.000 0.000 0.500
W: 0.000 0.500 0.000
W: 0.500 0.000 0.000

---

Record 9
Material: Sr2BSb2
Method: DFT, GGA-PBE
State: relaxed

Properties
Total magnetic moment, μB per atom: 0.243
ΔE to the lowest computed polymorph, meV per atom: 0
Symmetry: No. 127
DOS at the Fermi energy, states/eV/cell: 3.78
Calculated total energy, eV per atom: -3.52
Calculated volume, Å³/cell: 321.9

Cell lengths 8.063, 8.063, 4.951 Å; angles 90.00, 90.00, 90.00 degrees
Element x y z (fractional)
Sr: 0.180 0.320 0.000
Sr: 0.320 0.820 0.000
Sr: 0.680 0.180 0.000
Sr: 0.820 0.680 0.000
B: 0.000 0.000 0.000
B: 0.500 0.500 0.000
Sb: 0.123 0.623 0.500
Sb: 0.377 0.123 0.500
Sb: 0.623 0.877 0.500
Sb: 0.877 0.377 0.500

---

Record 10
Material: AcPuPdAu
Method: DFT, GGA-PBE
State: relaxed

Properties
Total magnetic moment, μB per atom: 1.480
ΔH_f (0 K), meV/atom: -512
Symmetry: No. 216
DOS at the Fermi energy, states/eV/cell: 57.52
Calculated total energy, eV per atom: -7.24
Calculated volume, Å³/cell: 416.5

Cell lengths 7.468, 7.468, 7.468 Å; angles 90.00, 90.00, 90.00 degrees
Element x y z (fractional)
Ac: 0.000 0.000 0.000
Ac: 0.000 0.500 0.500
Ac: 0.500 0.000 0.500
Ac: 0.500 0.500 0.000
Pu: 0.000 0.000 0.500
Pu: 0.000 0.500 0.000
Pu: 0.500 0.000 0.000
Pu: 0.500 0.500 0.500
Pd: 0.250 0.250 0.750
Pd: 0.250 0.750 0.250
Pd: 0.750 0.250 0.250
Pd: 0.750 0.750 0.750
Au: 0.250 0.250 0.250
Au: 0.250 0.750 0.750
Au: 0.750 0.250 0.750
Au: 0.750 0.750 0.250

---

Record 11
Material: K2DyC2O6
Method: DFT, GGA-PBE
State: relaxed

Properties
Total magnetic moment, μB per atom: 0.000
Symmetry: No. 164
DOS at the Fermi energy, states/eV/cell: 2.26
Calculated total energy, eV per atom: -6.88
Calculated volume, Å³/cell: 192.2

Cell lengths 5.547, 5.547, 7.215 Å; angles 90.00, 90.00, 120.00 degrees
Element x y z (fractional)
K: 0.333 0.667 0.308
K: 0.667 0.333 0.692
Dy: 0.000 0.000 0.000
C: 0.333 0.667 0.840
C: 0.667 0.333 0.160
O: 0.198 0.395 0.831
O: 0.198 0.802 0.831
O: 0.395 0.198 0.169
O: 0.605 0.802 0.831
O: 0.802 0.198 0.169
O: 0.802 0.605 0.169

---

Record 12
Material: Li2Tb3PrSe6
Method: DFT, GGA-PBE
State: relaxed

Properties
Total magnetic moment, μB per atom: 0.000
Symmetry: No. 12
DOS at the Fermi energy, states/eV/cell: 2.77
Calculated total energy, eV per atom: -5.35
Calculated volume, Å³/cell: 291.9

Cell lengths 7.081, 7.081, 7.130 Å; angles 99.60, 99.60, 119.99 degrees
Element x y z (fractional)
Li: 0.169 0.831 0.000
Li: 0.831 0.169 0.000
Tb: 0.000 0.000 0.500
Tb: 0.336 0.664 0.500
Tb: 0.664 0.336 0.500
Pr: 0.500 0.500 0.000
Se: 0.073 0.417 0.751
Se: 0.237 0.237 0.248
Se: 0.417 0.073 0.751
Se: 0.583 0.927 0.249
Se: 0.763 0.763 0.752
Se: 0.927 0.583 0.249

---

Record 13
Material: PmPtO2
Method: DFT, GGA-PBE
State: relaxed

Properties
Total magnetic moment, μB per atom: 0.000
Symmetry: No. 166
DOS at the Fermi energy, states/eV/cell: 5.22
Calculated total energy, eV per atom: -5.95
Calculated volume, Å³/cell: 201.0

Cell lengths 3.617, 3.617, 17.735 Å; angles 90.00, 90.00, 120.00 degrees
Element x y z (fractional)
Pm: 0.000 0.000 0.000
Pm: 0.333 0.667 0.667
Pm: 0.667 0.333 0.333
Pt: 0.000 0.000 0.500
Pt: 0.333 0.667 0.167
Pt: 0.667 0.333 0.833
O: 0.000 0.000 0.129
O: 0.000 0.000 0.871
O: 0.333 0.667 0.538
O: 0.333 0.667 0.796
O: 0.667 0.333 0.204
O: 0.667 0.333 0.462